No. 1
A plane-wave DFT calculation with PBE was carried out for a relaxed TlBi2Pd crystal.

Computed properties:
The formation energy is -0.160 eV per atom. The density comes out at 11.31 g/cm³.

a b c (Å): 3.4272 3.4272 9.1093
angles (deg): 90.00 90.00 90.00
Closest atoms and distances in Å follow each position.
Space group P4/mmm (No. 123)
One atom of each set of equivalent atoms:
Tl 0.0000 0.0000 0.0000 [1 per cell]  4 Tl 3.43, 8 Bi 3.68
Bi 0.5000 0.5000 0.3036 [2 per cell]  4 Pd 3.01
Pd 0.0000 0.0000 0.5000 [1 per cell]  8 Bi 3.01


No. 2
A plane-wave DFT calculation with PBE was carried out for a relaxed Tm4BiPd crystal.

Computed properties:
The formation energy is -0.586 eV per atom. The density comes out at 10.26 g/cm³. The calculation puts the energy above the most stable polymorph in this dataset at 0 meV/atom.

a b c (Å): 8.2719 4.0117 19.3277
angles (deg): 90.00 90.00 90.00
Closest atoms and distances in Å follow each position.
Space group Pnma (No. 62)
One atom of each set of equivalent atoms:
Tm 0.0221 0.2500 0.0668 [4 per cell]  2 Pd 2.93, 1 Bi 3.23
Tm 0.0518 0.7500 0.2123 [4 per cell]  4 Bi 3.25, 6 Tm 3.46-3.62, 1 Pd 3.59
Tm 0.1273 0.7500 0.6519 [4 per cell]  2 Pd 2.87, 1 Bi 3.19
Tm 0.1478 0.7500 0.4481 [4 per cell]  3 Pd 2.93-3.06
Bi 0.2493 0.2500 0.3137 [4 per cell]  9 Tm 3.19-3.39
Pd 0.2220 0.2500 0.5541 [4 per cell]  7 Tm 2.87-3.06